P.
## Be3InCu (PBE)

Data for an optimized crystal structure of Be3InCu.

abc: 4.1448 4.1448 4.1448
angles: 90.00 90.00 90.00
With the nearest neighbours (Å) after each atom.
Fractional coordinates of all 5 atoms:
Be  0.0000  0.0000  0.5000  2 Cu 2.07
Be  0.0000  0.5000  0.0000  2 Cu 2.07
Be  0.5000  0.0000  0.0000  2 Cu 2.07
In  0.5000  0.5000  0.5000  12 Be 2.93
Cu  0.0000  0.0000  0.0000  6 Be 2.07

Output
As for the density of states at the Fermi level: 0.265 states/eV/atom. As for the symmetry: Pm-3m, No. 221. The mass density is 4.790 g cm⁻³.

---

Q.
## Be3InCu (PBE)

Data for an optimized crystal structure of Be3InCu.

abc: 4.4813 4.4813 4.4813
angles: 90.00 90.00 90.00
With the nearest neighbours (Å) after each atom.
Fractional coordinates of all 5 atoms:
Be  0.0000  0.0000  0.5000  2 In 2.24
Be  0.0000  0.5000  0.0000  2 In 2.24
Be  0.5000  0.0000  0.0000  2 In 2.24
In  0.0000  0.0000  0.0000  6 Be 2.24
Cu  0.5000  0.5000  0.5000  12 Be 3.17

Output
As for the density of states at the Fermi level: 0.275 states/eV/atom. As for the symmetry: Pm-3m, No. 221. The mass density is 3.790 g cm⁻³.

---

Stability, lowest: Q

---

P.
## BeInCu3 (PBE)

Data for an optimized crystal structure of BeInCu3.

abc: 4.1582 4.1582 4.1582
angles: 90.00 90.00 90.00
With the nearest neighbours (Å) after each atom.
Fractional coordinates of all 5 atoms:
Be  0.0000  0.0000  0.0000  6 Cu 2.08
In  0.5000  0.5000  0.5000  12 Cu 2.94
Cu  0.0000  0.0000  0.5000  2 Be 2.08
Cu  0.0000  0.5000  0.0000  2 Be 2.08
Cu  0.5000  0.0000  0.0000  2 Be 2.08

Output
As for the density of states at the Fermi level: 0.374 states/eV/atom. As for the symmetry: Pm-3m, No. 221. The mass density is 7.263 g cm⁻³.

---

Q.
## BeInCu3 (PBE)

Data for an optimized crystal structure of BeInCu3.

abc: 4.7859 4.7859 4.7859
angles: 90.00 90.00 90.00
With the nearest neighbours (Å) after each atom.
Fractional coordinates of all 5 atoms:
Be  0.0000  0.0000  0.0000  12 Cu 3.38
In  0.5000  0.5000  0.5000  6 Cu 2.39
Cu  0.0000  0.5000  0.5000  2 In 2.39
Cu  0.5000  0.0000  0.5000  2 In 2.39
Cu  0.5000  0.5000  0.0000  2 In 2.39

Output
As for the density of states at the Fermi level: 0.428 states/eV/atom. As for the symmetry: Pm-3m, No. 221. The mass density is 4.764 g cm⁻³.

---

Stability, lowest: Q

---

P.
## BeIn3Cu (PBE)

Data for an optimized crystal structure of BeIn3Cu.

abc: 5.0262 5.0262 5.0262
angles: 90.00 90.00 90.00
With the nearest neighbours (Å) after each atom.
Fractional coordinates of all 5 atoms:
Be  0.0000  0.0000  0.0000  12 In 3.55
In  0.0000  0.5000  0.5000  2 Cu 2.51
In  0.5000  0.0000  0.5000  2 Cu 2.51
In  0.5000  0.5000  0.0000  2 Cu 2.51
Cu  0.5000  0.5000  0.5000  6 In 2.51

Output
As for the density of states at the Fermi level: 0.621 states/eV/atom. As for the symmetry: Pm-3m, No. 221. The mass density is 5.453 g cm⁻³.

---

Q.
## BeIn3Cu (PBE)

Data for an optimized crystal structure of BeIn3Cu.

abc: 4.8753 4.8753 4.8753
angles: 90.00 90.00 90.00
With the nearest neighbours (Å) after each atom.
Fractional coordinates of all 5 atoms:
Be  0.0000  0.0000  0.0000  6 In 2.44
In  0.0000  0.0000  0.5000  2 Be 2.44
In  0.0000  0.5000  0.0000  2 Be 2.44
In  0.5000  0.0000  0.0000  2 Be 2.44
Cu  0.5000  0.5000  0.5000  12 In 3.45

Output
As for the density of states at the Fermi level: 0.430 states/eV/atom. As for the symmetry: Pm-3m, No. 221. The mass density is 5.976 g cm⁻³.

---

Stability, lowest: P

---

P.
## Be2CuIr (PBE)

Data for an optimized crystal structure of Be2CuIr.

abc: 2.6202 2.6202 7.2957
angles: 90.00 90.00 114.91
With the nearest neighbours (Å) after each atom.
Fractional coordinates of all 4 atoms:
Be  0.0000  0.0000  0.2487  2 Cu 2.30, 2 Ir 2.31
Be  0.0000  0.0000  0.7513  2 Cu 2.30, 2 Ir 2.31
Cu  0.5000  0.5000  0.0000  4 Be 2.30
Ir  0.5000  0.5000  0.5000  4 Be 2.31

Output
As for the density of states at the Fermi level: 0.479 states/eV/atom. As for the symmetry: Cmmm, No. 65. The mass density is 10.008 g cm⁻³.

---

Q.
## Be2CuIr (PBE)

Data for an optimized crystal structure of Be2CuIr.

abc: 3.8926 3.8926 3.8926
angles: 60.00 60.00 60.00
With the nearest neighbours (Å) after each atom.
Fractional coordinates of all 4 atoms:
Be  0.2500  0.2500  0.2500  4 Ir 2.38, 4 Cu 2.38
Be  0.7500  0.7500  0.7500  4 Ir 2.38, 4 Cu 2.38
Cu  0.0000  0.0000  0.0000  8 Be 2.38
Ir  0.5000  0.5000  0.5000  8 Be 2.38

Output
As for the density of states at the Fermi level: 0.255 states/eV/atom. As for the symmetry: Fm-3m, No. 225. The mass density is 10.901 g cm⁻³.

---

R.
## Be2CuIr (PBE)

Data for an optimized crystal structure of Be2CuIr.

abc: 2.8572 2.8572 5.2634
angles: 90.00 90.00 90.00
With the nearest neighbours (Å) after each atom.
Fractional coordinates of all 4 atoms:
Be  0.0000  0.0000  0.0000  4 Ir 2.31, 4 Be 2.36, 1 Cu 2.40
Be  0.5000  0.5000  0.2330  4 Cu 2.34, 1 Ir 2.35, 4 Be 2.36
Cu  0.0000  0.0000  0.4561  5 Be 2.34-2.40
Ir  0.5000  0.5000  0.7866  5 Be 2.31-2.35

Output
As for the density of states at the Fermi level: 0.357 states/eV/atom. As for the symmetry: P4mm, No. 99. The mass density is 10.581 g cm⁻³.

---

S.
## Be2CuIr (PBE)

Data for an optimized crystal structure of Be2CuIr.

abc: 4.6582 4.6582 4.6582
angles: 144.28 133.01 60.40
With the nearest neighbours (Å) after each atom.
Fractional coordinates of all 4 atoms:
Be  0.0000  0.0000  0.0000  4 Ir 2.35, 2 Be 2.41, 2 Cu 2.43
Be  0.7590  0.2590  0.5000  4 Cu 2.35, 2 Be 2.41, 2 Ir 2.43
Cu  0.2445  0.7445  0.5000  6 Be 2.35-2.43, 4 Ir 2.60-2.62
Ir  0.5143  0.5143  0.0000  6 Be 2.35-2.43, 4 Cu 2.60-2.62

Output
As for the density of states at the Fermi level: 0.399 states/eV/atom. As for the symmetry: Imm2, No. 44. The mass density is 10.641 g cm⁻³.

---

Stability, lowest: P

---

P.
## Be2CuIr (PBE)

Data for an optimized crystal structure of Be2CuIr.

abc: 3.8384 3.8384 2.8361
angles: 90.00 90.00 90.00
With the nearest neighbours (Å) after each atom.
Fractional coordinates of all 4 atoms:
Be  0.0000  0.5000  0.0000  4 Cu 2.39, 4 Ir 2.39
Be  0.5000  0.0000  0.0000  4 Cu 2.39, 4 Ir 2.39
Cu  0.0000  0.0000  0.5000  8 Be 2.39
Ir  0.5000  0.5000  0.5000  8 Be 2.39

Output
As for the density of states at the Fermi level: 0.196 states/eV/atom. As for the symmetry: P4/mmm, No. 123. The mass density is 10.880 g cm⁻³.

---

Q.
## Be2CuIr (PBE)

Data for an optimized crystal structure of Be2CuIr.

abc: 3.9762 3.9762 3.9762
angles: 60.00 60.00 60.00
With the nearest neighbours (Å) after each atom.
Fractional coordinates of all 4 atoms:
Be  0.0000  0.0000  0.0000  4 Be 2.43, 4 Ir 2.43
Be  0.2500  0.2500  0.2500  4 Be 2.43, 4 Cu 2.43
Cu  0.5000  0.5000  0.5000  4 Be 2.43, 4 Ir 2.43
Ir  0.7500  0.7500  0.7500  4 Be 2.43, 4 Cu 2.43

Output
As for the density of states at the Fermi level: 0.477 states/eV/atom. As for the symmetry: F-43m, No. 216. The mass density is 10.227 g cm⁻³.

---

R.
## Be2CuIr (PBE)

Data for an optimized crystal structure of Be2CuIr.

abc: 2.8007 3.6122 4.4104
angles: 90.00 108.29 90.00
With the nearest neighbours (Å) after each atom.
Fractional coordinates of all 4 atoms:
Be  0.0000  0.0000  0.0000  2 Be 2.23, 3 Cu 2.27-2.38, 4 Ir 2.36
Be  0.1533  0.5000  0.3111  2 Be 2.23, 3 Ir 2.31-2.34, 4 Cu 2.37
Cu  0.7266  0.0000  0.4585  7 Be 2.27-2.38
Ir  0.4324  0.5000  0.8636  7 Be 2.31-2.36

Output
As for the density of states at the Fermi level: 0.320 states/eV/atom. As for the symmetry: Pm, No. 6. The mass density is 10.732 g cm⁻³.

---

S.
## Be2CuIr (PBE)

Data for an optimized crystal structure of Be2CuIr.

abc: 7.8978 7.8978 7.8978
angles: 19.19 19.19 19.19
With the nearest neighbours (Å) after each atom.
Fractional coordinates of all 4 atoms:
Be  0.0000  0.0000  0.0000  3 Ir 2.36, 9 Be 2.41-2.63
Be  0.2529  0.2529  0.2529  3 Cu 2.36, 9 Be 2.41-2.63
Cu  0.5088  0.5088  0.5088  3 Be 2.36, 6 Cu 2.63
Ir  0.7444  0.7444  0.7444  3 Be 2.36, 6 Ir 2.63

Output
As for the density of states at the Fermi level: 0.612 states/eV/atom. As for the symmetry: R3m, No. 160. The mass density is 9.775 g cm⁻³.

---

Stability, lowest: S

---

P.
## Be2CuIr (PBE)

Data for an optimized crystal structure of Be2CuIr.

abc: 7.4882 7.4882 7.4882
angles: 20.64 20.64 20.64
With the nearest neighbours (Å) after each atom.
Fractional coordinates of all 4 atoms:
Be  0.2487  0.2487  0.2487  3 Ir 2.38, 3 Cu 2.42
Be  0.7513  0.7513  0.7513  3 Ir 2.38, 3 Cu 2.42
Cu  0.0000  0.0000  0.0000  6 Be 2.42, 6 Cu 2.68
Ir  0.5000  0.5000  0.5000  6 Be 2.38

Output
As for the density of states at the Fermi level: 0.466 states/eV/atom. As for the symmetry: R-3m, No. 166. The mass density is 9.955 g cm⁻³.

---

Q.
## Be2CuIr (PBE)

Data for an optimized crystal structure of Be2CuIr.

abc: 4.4263 4.4263 3.8717
angles: 107.46 107.46 36.67
With the nearest neighbours (Å) after each atom.
Fractional coordinates of all 4 atoms:
Be  0.0000  0.0000  0.0000  3 Ir 2.37-2.44, 4 Cu 2.37-2.40, 2 Be 2.46
Be  0.7417  0.7417  0.3262  4 Ir 2.37-2.40, 3 Cu 2.40-2.41, 2 Be 2.46
Cu  0.4872  0.4872  0.4873  7 Be 2.37-2.41, 3 Ir 2.63-2.66
Ir  0.2587  0.2587  0.8423  7 Be 2.37-2.44, 3 Cu 2.63-2.66

Output
As for the density of states at the Fermi level: 0.348 states/eV/atom. As for the symmetry: Cm, No. 8. The mass density is 10.580 g cm⁻³.

---

Stability, lowest: P